Be2CdO after structural relaxation, computed with PBEsol.

a b c (Å): 5.0313 5.0313 5.0313
angles (deg): 119.09 119.09 91.58
Positions (direct):
Be: 0.3750 0.2335 0.3585
Be: 0.7665 0.1250 0.1415
Be: 0.8750 0.0165 0.6415
Be: 0.9835 0.6250 0.8585
Cd: 0.2500 0.7500 0.5000
Cd: 0.5000 0.5000 0.0000
O: 0.0000 0.0000 0.0000
O: 0.7500 0.2500 0.5000

Its density of states at the Fermi level is 0.03 states/eV per cell. For the volume, the calculation gives 45.6 Å³/f.u. As for the total magnetization: 0.00 μB per formula unit. The uncorrected formation energy is -0.8762 eV per atom.


BeCd3O after structural relaxation, computed with PBEsol.

a b c (Å): 4.5062 4.5062 4.5062
angles (deg): 90.00 90.00 90.00
Positions (direct):
Be: 0.0000 0.0000 0.0000
Cd: 0.0000 0.5000 0.5000
Cd: 0.5000 0.0000 0.5000
Cd: 0.5000 0.5000 0.0000
O: 0.5000 0.5000 0.5000

Its offset from the most stable computed form is 0 meV per atom. Its density of states at the Fermi level is 1.87 states/eV per cell. For the volume, the calculation gives 91.5 Å³/f.u. As for the total magnetization: 0.00 μB per formula unit. The uncorrected formation energy is 0.2723 eV per atom.


BeCdPO2 after structural relaxation, computed with PBEsol.

a b c (Å): 3.9294 3.9294 5.2215
angles (deg): 90.00 90.00 90.00
Positions (direct):
Be: 0.0000 0.0000 0.0000
Cd: 0.5000 0.5000 0.5000
P: 0.5000 0.5000 0.0000
O: 0.0000 0.5000 0.5000
O: 0.5000 0.0000 0.5000

Its density of states at the Fermi level is 3.94 states/eV per cell. For the volume, the calculation gives 80.6 Å³/f.u. As for the total magnetization: 0.00 μB per formula unit. The uncorrected formation energy is 0.8420 eV per atom.


Be3Cd4Si3TeO12 after structural relaxation, computed with PBEsol.

a b c (Å): 8.5953 8.5953 8.5953
angles (deg): 90.00 90.00 90.00
Positions (direct):
Be: 0.0000 0.2500 0.5000
Be: 0.0000 0.7500 0.5000
Be: 0.2500 0.5000 0.0000
Be: 0.5000 0.0000 0.2500
Be: 0.5000 0.0000 0.7500
Be: 0.7500 0.5000 0.0000
Cd: 0.1838 0.1838 0.1838
Cd: 0.1838 0.8162 0.8162
Cd: 0.3162 0.3162 0.6838
Cd: 0.3162 0.6838 0.3162
Cd: 0.6838 0.3162 0.3162
Cd: 0.6838 0.6838 0.6838
Cd: 0.8162 0.1838 0.8162
Cd: 0.8162 0.8162 0.1838
Si: 0.0000 0.5000 0.2500
Si: 0.0000 0.5000 0.7500
Si: 0.2500 0.0000 0.5000
Si: 0.5000 0.2500 0.0000
Si: 0.5000 0.7500 0.0000
Si: 0.7500 0.0000 0.5000
Te: 0.0000 0.0000 0.0000
Te: 0.5000 0.5000 0.5000
O: 0.0647 0.3537 0.6458
O: 0.0647 0.6463 0.3542
O: 0.1458 0.1463 0.4353
O: 0.1463 0.4353 0.1458
O: 0.1463 0.5647 0.8542
O: 0.1458 0.8537 0.5647
O: 0.3542 0.0647 0.6463
O: 0.3537 0.3542 0.9353
O: 0.3537 0.6458 0.0647
O: 0.3542 0.9353 0.3537
O: 0.4353 0.1458 0.1463
O: 0.4353 0.8542 0.8537
O: 0.5647 0.1458 0.8537
O: 0.5647 0.8542 0.1463
O: 0.6458 0.0647 0.3537
O: 0.6463 0.3542 0.0647
O: 0.6463 0.6458 0.9353
O: 0.6458 0.9353 0.6463
O: 0.8542 0.1463 0.5647
O: 0.8537 0.4353 0.8542
O: 0.8537 0.5647 0.1458
O: 0.8542 0.8537 0.4353
O: 0.9353 0.3537 0.3542
O: 0.9353 0.6463 0.6458

Its density of states at the Fermi level is 0.00 states/eV per cell. For the volume, the calculation gives 317.5 Å³/f.u. As for the total magnetization: 0.00 μB per formula unit. The uncorrected formation energy is -2.1813 eV per atom.


BeCdOs2 after structural relaxation, computed with PBEsol.

a b c (Å): 4.2753 4.2753 4.2753
angles (deg): 60.00 60.00 60.00
Positions (direct):
Be: 0.0000 0.0000 0.0000
Cd: 0.5000 0.5000 0.5000
Os: 0.2500 0.2500 0.2500
Os: 0.7500 0.7500 0.7500

Its offset from the most stable computed form is 503 meV per atom. Its density of states at the Fermi level is 4.01 states/eV per cell. For the volume, the calculation gives 55.3 Å³/f.u. As for the total magnetization: 0.00 μB per formula unit.


BeCd2Os after structural relaxation, computed with PBEsol.

a b c (Å): 4.4193 4.4193 4.4193
angles (deg): 60.00 60.00 60.00
Positions (direct):
Be: 0.0000 0.0000 0.0000
Cd: 0.2500 0.2500 0.2500
Cd: 0.5000 0.5000 0.5000
Os: 0.7500 0.7500 0.7500

The energy comes out at -4.080 eV/atom. Its density of states at the Fermi level is 1.58 states/eV per cell. For the volume, the calculation gives 61.0 Å³/f.u. As for the total magnetization: 0.00 μB per formula unit.


BeCdOs2 after structural relaxation, computed with PBEsol.

a b c (Å): 5.1820 5.1820 5.1820
angles (deg): 148.81 130.12 60.01
Positions (direct):
Be: 0.0000 0.0000 0.0000
Cd: 0.5000 0.5000 0.0000
Os: 0.2109 0.7109 0.5000
Os: 0.7891 0.2891 0.5000

Its offset from the most stable computed form is 0 meV per atom. Its density of states at the Fermi level is 2.94 states/eV per cell. For the volume, the calculation gives 54.6 Å³/f.u. As for the total magnetization: 0.00 μB per formula unit.


BeCdOs2 after structural relaxation, computed with PBEsol.

a b c (Å): 2.6810 2.6810 8.5266
angles (deg): 90.00 90.00 114.96
Positions (direct):
Be: 0.0000 0.0000 0.0000
Cd: 0.0000 0.0000 0.5000
Os: 0.5000 0.5000 0.2126
Os: 0.5000 0.5000 0.7874

Its offset from the most stable computed form is 121 meV per atom. Its density of states at the Fermi level is 3.09 states/eV per cell. For the volume, the calculation gives 55.6 Å³/f.u. As for the total magnetization: 0.00 μB per formula unit.


Q: Which formula does entry 4 have?
A: Be3Cd4Si3TeO12


Q: Which formula does entry 3 have?
A: BeCdPO2